Computed, not measured: a relaxed Nb2MoH3 crystal at the GGA-PBE level of DFT. Values from VASP.

```
&SYSTEM
  ibrav = 0, nat = 6, ntyp = 3
/
ATOMIC_SPECIES
Nb 92.91 Nb.upf
Mo 95.94 Mo.upf
H 1.01 H.upf
CELL_PARAMETERS angstrom
4.7453 -2.1131 0.0000
4.7453 2.1131 0.0000
-0.9710 0.0000 2.8855
ATOMIC_POSITIONS crystal
Nb 0.1649 0.1649 0.1639
Nb 0.8351 0.8351 0.8361
Mo 0.5000 0.5000 0.5000
H 0.0000 0.0000 0.5000
H 0.3401 0.3401 0.8393
H 0.6599 0.6599 0.1607
```

Summary:
crystal system	monoclinic
DFT total energy	-6.923	eV/atom